Entry from Alexandria via LeMat-Bulk: a relaxed structure of ZnIrRhW2 (PBE).

Summary:
Energy (eV/atom): -6.705
Energy relative to the elements (meV/atom): 1973.1
Mass density (g cm⁻³): 11.6

a b c (Å): 4.6481 4.6481 4.8325
angles (deg): 90.00 90.00 90.00
Space group P4/mmm (No. 123)
Unique sites:
Zn1 0.0000 0.0000 0.0000
Ir1 0.5000 0.5000 0.0000
Rh1 0.5000 0.5000 0.5000
W1 0.0000 0.5000 0.5000

=====

Entry from Alexandria via LeMat-Bulk: a relaxed structure of Sc2Sb (PBE).

Summary:
Energy (eV/atom): -5.993
Formation energy (no corrections) (eV/atom): -0.40
Mass density (g cm⁻³): 4.4

a b c (Å): 4.5298 4.5298 3.9276
angles (deg): 90.00 90.00 90.00
Space group P4/mmm (No. 123)
Unique sites:
Sc1 0.0000 0.5000 0.0000
Sb1 0.0000 0.0000 0.5000

=====

Entry from Alexandria via LeMat-Bulk: a relaxed structure of Cs4PuPa3N8 (PBE).

Summary:
Energy (eV/atom): -8.010
Formation energy (no corrections) (eV/atom): -0.96
Mass density (g cm⁻³): 8.1

a b c (Å): 7.2554 7.2554 21.2164
angles (deg): 90.00 90.00 120.00
Space group R-3m (No. 166, hexagonal axes)
Unique sites:
Cs1 0.0000 0.0000 0.0000
Cs2 0.0000 0.5000 0.0000
Pu1 0.0000 0.0000 0.5000
Pa1 0.0000 0.5000 0.5000
N1 0.0000 0.0000 0.2140
N2 0.0034 0.5017 0.2138

=====

Entry from Alexandria via LeMat-Bulk: a relaxed structure of AgIrAu (PBE).

Summary:
Energy (eV/atom): -4.669
Energy relative to the elements (meV/atom): 327.7
E above lowest polymorph (eV per formula unit): 0.151
Mass density (g cm⁻³): 16.4

a b c (Å): 2.8370 4.8139 14.7258
angles (deg): 90.00 90.00 90.00
Space group Fmm2 (No. 42)
Unique sites:
Ag1 0.0000 0.0000 0.0000
Ir1 0.0000 0.0000 0.3358
Au1 0.0000 0.0000 0.6696

=====

Entry from Alexandria via LeMat-Bulk: a relaxed structure of Zn2SbCl (PBE).

Summary:
Energy (eV/atom): -2.296
Formation energy (no corrections) (eV/atom): -0.17
E above lowest polymorph (eV per formula unit): 0.724
Mass density (g cm⁻³): 5.2

a b c (Å): 4.0192 4.0192 19.7144
angles (deg): 90.00 90.00 120.00
Space group R-3m (No. 166, hexagonal axes)
Unique sites:
Zn1 0.0000 0.0000 0.2421
Sb1 0.0000 0.0000 0.5000
Cl1 0.0000 0.0000 0.0000

=====

Entry from Alexandria via LeMat-Bulk: a relaxed structure of Th2AuSe2N2 (PBE).

Summary:
Energy (eV/atom): -7.177
Formation energy (no corrections) (eV/atom): -1.21
Mass density (g cm⁻³): 8.3

a b c (Å): 4.0593 4.0593 11.8194
angles (deg): 90.00 90.00 120.00
Space group P-3m1 (No. 164)
Unique sites:
Th1 0.3333 0.6667 0.1254
Au1 0.0000 0.0000 0.5000
Se1 0.0000 0.0000 0.2975
N1 0.3333 0.6667 0.9237

=====

Entry from Alexandria via LeMat-Bulk: a relaxed structure of Zn6NiRh2 (PBE).

Summary:
Energy (eV/atom): -3.194
Energy relative to the elements (meV/atom): -68.4
Mass density (g cm⁻³): 7.3

a b c (Å): 12.9653 5.9002 4.0897
angles (deg): 90.00 108.33 90.00
Space group C2/m (No. 12)
Unique sites:
Zn1 0.0000 0.2370 0.0000
Zn2 0.1635 0.2423 0.6622
Ni1 0.0000 0.0000 0.5000
Rh1 0.1644 0.5000 0.1631

=====

Entry from Alexandria via LeMat-Bulk: a relaxed structure of Ac5Cd (PBE).

Summary:
Energy (eV/atom): -3.653
Energy relative to the elements (meV/atom): -76.5
E above lowest polymorph (eV per formula unit): 0.000
Mass density (g cm⁻³): 8.3

a b c (Å): 13.6304 4.1144 9.5804
angles (deg): 90.00 111.67 90.00
Space group Cm (No. 8)
Unique sites:
Ac1 0.0000 0.0000 0.0000
Ac2 0.0231 0.0000 0.4437
Ac3 0.1883 0.5000 0.8379
Ac4 0.2134 0.5000 0.2873
Ac5 0.3579 0.0000 0.6437
Cd1 0.3544 0.0000 0.1404

=====

Entry from Alexandria via LeMat-Bulk: a relaxed structure of Ba2Hg5Au4 (PBE).

Summary:
Energy (eV/atom): -2.017
Energy relative to the elements (meV/atom): -338.8
E above lowest polymorph (eV per formula unit): 0.283
Mass density (g cm⁻³): 10.9

a b c (Å): 14.1098 6.1193 9.1202
angles (deg): 90.00 126.75 90.00
Space group C2/m (No. 12)
Unique sites:
Ba1 0.2233 0.0000 0.2710
Hg1 0.0000 0.5000 0.0000
Hg2 0.0354 0.2524 0.7420
Au1 0.1456 0.0000 0.5609
Au2 0.2285 0.5000 0.0633

=====

Entry from Alexandria via LeMat-Bulk: a relaxed structure of LaSmSi (PBE).

Summary:
Energy (eV/atom): -5.352
Formation energy (no corrections) (eV/atom): -0.33
E above lowest polymorph (eV per formula unit): 0.588
Mass density (g cm⁻³): 6.2

a b c (Å): 4.7595 4.7595 4.3219
angles (deg): 90.00 90.00 120.00
Space group P3m1 (No. 156)
Unique sites:
La1 0.0000 0.0000 0.0000
Sm1 0.6667 0.3333 0.5487
Si1 0.3333 0.6667 0.3555

=====

Entry from Alexandria via LeMat-Bulk: a relaxed structure of TcRuRh2 (PBE).

Summary:
Energy (eV/atom): -8.603
Energy relative to the elements (meV/atom): -16.8
E above lowest polymorph (eV per formula unit): 0.241
Mass density (g cm⁻³): 11.8

a b c (Å): 2.7150 2.7150 7.7039
angles (deg): 90.00 90.00 90.00
Space group P4mm (No. 99)
Unique sites:
Tc1 0.0000 0.0000 0.0000
Ru1 0.5000 0.5000 0.7506
Rh1 0.0000 0.0000 0.5057
Rh2 0.5000 0.5000 0.2453

=====

Entry from Alexandria via LeMat-Bulk: a relaxed structure of Ag2GeTe2 (PBE).

Summary:
Energy (eV/atom): -3.294
Formation energy (no corrections) (eV/atom): 0.03
E above lowest polymorph (eV per formula unit): 0.000
Mass density (g cm⁻³): 6.5

a b c (Å): 15.6138 4.6968 7.6670
angles (deg): 90.00 96.36 90.00
Space group C2/m (No. 12)
Unique sites:
Ag1 0.0275 0.0000 0.2040
Ag2 0.0917 0.5000 0.7186
Ge1 0.1889 0.0000 0.5758
Te1 0.1146 0.5000 0.3520
Te2 0.1478 0.0000 0.9158